# 1
The following is a GGA-PBE calculation of a geometry-optimized LaScGe2Au2 structure, from Alexandria.

Calculated values
**Magnetization**: 0.000 μB/atom
**Total DFT energy (no corrections)**: -31.812 eV for the cell shown

Cell lengths 4.4570, 4.4570, 7.4645 Å; angles 90.00, 90.00, 120.00 degrees
Atoms (fractional coordinates):
La  0.0000  0.0000  0.0000
Ge  0.3333  0.6667  0.2561
Ge  0.6667  0.3333  0.7439
Au  0.3333  0.6667  0.6892
Au  0.6667  0.3333  0.3108
Sc  0.0000  0.0000  0.5000

# 2
The following is a GGA-PBE calculation of a geometry-optimized BaThTl6 structure, from Alexandria.

Calculated values
**Magnetization**: 0.000 μB/atom
**Total DFT energy (no corrections)**: -25.099 eV for the cell shown

Cell lengths 4.9483, 4.9483, 9.9953 Å; angles 90.00, 90.00, 90.00 degrees
Atoms (fractional coordinates):
Tl  0.5000  0.0000  0.2613
Tl  0.5000  0.0000  0.7387
Tl  0.0000  0.5000  0.7387
Tl  0.0000  0.5000  0.2613
Tl  0.5000  0.5000  0.0000
Tl  0.5000  0.5000  0.5000
Th  0.0000  0.0000  0.5000
Ba  0.0000  0.0000  0.0000

# 3
The following is a GGA-PBE calculation of a geometry-optimized YS2ICl structure, from Alexandria.

Calculated values
**Magnetization**: 0.293 μB/atom
**Formation energy from raw total energies**: -0.64 eV/atom

Cell lengths 5.4076, 5.4076, 5.1444 Å; angles 90.00, 90.00, 90.00 degrees
Each line ends with the local moment (μB).
Atoms (fractional coordinates):
Cl  0.0000  0.0000  0.5000  0.01
Y  0.0000  0.0000  0.0000  -0.01
S  0.5000  0.0000  0.0000  0.32
S  0.0000  0.5000  0.0000  0.32
I  0.5000  0.5000  0.5000  0.30